The following is a DFT calculation (GGA-PBE) of a relaxed structure of UPa2In.

Calculated values
- energy relative to the lowest polymorph listed for this composition (meV/atom) = 45
- E_form (meV/atom) = 172
- D(E_F) (states/eV/cell) = 10.371

Structure (POSCAR):
```
UPa2In
1.0
3.705 0.000 0.000
0.000 3.705 0.000
0.000 0.000 7.042
U Pa In
1 2 1
direct
0.000 0.000 0.000
0.500 0.500 0.224
0.500 0.500 0.776
0.000 0.000 0.500
```

---

The following is a DFT calculation (GGA-PBE) of a relaxed structure of UPa2In.

Calculated values
- energy relative to the lowest polymorph listed for this composition (meV/atom) = 0
- E_form (meV/atom) = 127
- D(E_F) (states/eV/cell) = 11.019

Structure (POSCAR):
```
UPa2In
1.0
4.650 0.000 0.000
0.000 4.650 0.000
0.000 0.000 4.467
U Pa In
1 2 1
direct
0.000 0.000 0.000
0.000 0.500 0.500
0.500 0.000 0.500
0.500 0.500 0.000
```

---

The following is a DFT calculation (GGA-PBE) of a relaxed structure of UPa2In9.

Calculated values
- E_form (meV/atom) = -89
- D(E_F) (states/eV/cell) = 14.564

Structure (POSCAR):
```
UPa2In9
1.0
4.647 0.000 0.000
0.000 4.647 0.000
0.000 0.000 13.922
U Pa In
1 2 9
direct
0.000 0.000 0.000
0.000 0.000 0.333
0.000 0.000 0.667
0.000 0.500 0.166
0.000 0.500 0.500
0.000 0.500 0.834
0.500 0.000 0.166
0.500 0.000 0.500
0.500 0.000 0.834
0.500 0.500 0.000
0.500 0.500 0.333
0.500 0.500 0.667
```

---

The following is a DFT calculation (GGA-PBE) of a relaxed structure of UPa2In.

Calculated values
- energy relative to the lowest polymorph listed for this composition (meV/atom) = 166
- E_form (meV/atom) = 292
- D(E_F) (states/eV/cell) = 4.265

Structure (POSCAR):
```
UPa2In
1.0
1.836 1.060 8.463
-1.836 1.060 8.463
0.000 -2.120 8.463
U Pa In
1 2 1
direct
0.000 0.000 0.000
0.268 0.268 0.268
0.732 0.732 0.732
0.500 0.500 0.500
```

---

The following is a DFT calculation (GGA-PBE) of a relaxed structure of PaV4In.

Calculated values
- E_form (meV/atom) = 195
- D(E_F) (states/eV/cell) = 9.634

Structure (POSCAR):
```
PaV4In
1.0
0.000 3.733 3.733
3.733 0.000 3.733
3.733 3.733 0.000
Pa V In
1 4 1
direct
0.000 0.000 0.000
0.114 0.629 0.629
0.629 0.114 0.629
0.629 0.629 0.114
0.629 0.629 0.629
0.250 0.250 0.250
```

---

The following is a DFT calculation (GGA-PBE) of a relaxed structure of PaVIn.

Calculated values
- E_form (meV/atom) = 155
- D(E_F) (states/eV/cell) = 5.004

Structure (POSCAR):
```
PaVIn
1.0
-1.569 1.569 6.402
1.569 -1.569 6.402
1.569 1.569 -6.402
Pa V In
1 1 1
direct
0.000 0.000 0.000
0.349 0.349 0.000
0.704 0.704 0.000
```

---

The following is a DFT calculation (GGA-PBE) of a relaxed structure of PaInW.

Calculated values
- E_form (meV/atom) = 568
- D(E_F) (states/eV/cell) = 3.662

Structure (POSCAR):
```
PaInW
1.0
2.318 1.338 7.880
-2.318 1.338 7.880
0.000 -2.676 7.880
Pa In W
2 2 2
direct
0.118 0.118 0.118
0.882 0.882 0.882
0.368 0.368 0.368
0.632 0.632 0.632
0.243 0.243 0.243
0.757 0.757 0.757
```

---

The following is a DFT calculation (GGA-PBE) of a relaxed structure of YPaIn2.

Calculated values
- energy relative to the lowest polymorph listed for this composition (meV/atom) = 125
- E_form (meV/atom) = -96
- D(E_F) (states/eV/cell) = 8.275

Structure (POSCAR):
```
YPaIn2
1.0
0.000 3.774 3.774
3.774 0.000 3.774
3.774 3.774 0.000
Y Pa In
1 1 2
direct
0.000 0.000 0.000
0.500 0.500 0.500
0.250 0.250 0.250
0.750 0.750 0.750
```

---

| no. | calculated volume (A^3/atom) | VASP energy (Ry per atom) |
| --- | --- | --- |
| 1 | 24.17 | -0.594 |
| 2 | 24.15 | -0.597 |
| 3 | 25.05 | -0.343 |
| 4 | 24.71 | -0.585 |
| 5 | 17.34 | -0.582 |
| 6 | 21.00 | -0.512 |
| 7 | 24.44 | -0.575 |
| 8 | 26.88 | -0.401 |